Record 1
Here is an optimized crystal structure of Sc4Al2CdGa from the Alexandria database. Energies are from GGA-PBE. Values from VASP.

Structure (Quantum ESPRESSO input):
```
&SYSTEM
  ibrav = 0, nat = 8, ntyp = 4
/
ATOMIC_SPECIES
Sc 44.96 Sc.upf
Al 26.98 Al.upf
Cd 112.41 Cd.upf
Ga 69.72 Ga.upf
ATOMIC_POSITIONS crystal
Sc 0.121 0.121 0.121
Sc 0.372 0.372 0.372
Sc 0.628 0.628 0.628
Sc 0.879 0.879 0.879
Al 0.246 0.246 0.246
Al 0.754 0.754 0.754
Cd 0.500 0.500 0.500
Ga 0.000 0.000 0.000
CELL_PARAMETERS angstrom
2.417 1.396 7.879
-2.417 1.396 7.879
0.000 -2.791 7.879
```

SG   R-3m
Formation enthalpy at 0 K   -438 meV/atom

=====

Record 2
Here is an optimized crystal structure of SrAgP2Pd5 from the Alexandria database. Energies are from GGA-PBE. Values from VASP.

Structure (Quantum ESPRESSO input):
```
&SYSTEM
  ibrav = 0, nat = 9, ntyp = 4
/
ATOMIC_SPECIES
Sr 87.62 Sr.upf
Ag 107.87 Ag.upf
P 30.97 P.upf
Pd 106.42 Pd.upf
ATOMIC_POSITIONS crystal
Sr 0.000 0.000 0.000
Ag 0.000 0.000 0.500
P 0.500 0.500 0.233
P 0.500 0.500 0.767
Pd 0.000 0.500 0.318
Pd 0.000 0.500 0.682
Pd 0.500 0.000 0.318
Pd 0.500 0.000 0.682
Pd 0.500 0.500 0.000
CELL_PARAMETERS angstrom
4.305 0.000 0.000
0.000 4.305 0.000
0.000 0.000 9.805
```

SG   P4/mmm
Formation enthalpy at 0 K   -434 meV/atom

=====

Record 3
Here is an optimized crystal structure of TlReBr from the Alexandria database. Energies are from GGA-PBE. Values from VASP.

Structure (Quantum ESPRESSO input):
```
&SYSTEM
  ibrav = 0, nat = 3, ntyp = 3
/
ATOMIC_SPECIES
Tl 204.38 Tl.upf
Re 186.21 Re.upf
Br 79.90 Br.upf
ATOMIC_POSITIONS crystal
Tl 0.000 0.000 0.000
Re 0.333 0.667 0.500
Br 0.667 0.333 0.500
CELL_PARAMETERS angstrom
4.764 0.000 0.000
-2.382 4.126 0.000
0.000 0.000 3.078
```

Excess energy over the best structure of this formula in the dataset   0.336 eV/atom
SG   P-6m2
Formation energy from raw total energies   112.4 kJ/mol of atoms

=====

Record 4
Here is an optimized crystal structure of CaOsAu3 from the Alexandria database. Energies are from GGA-PBE. Values from VASP.

Structure (Quantum ESPRESSO input):
```
&SYSTEM
  ibrav = 0, nat = 5, ntyp = 3
/
ATOMIC_SPECIES
Ca 40.08 Ca.upf
Os 190.23 Os.upf
Au 196.97 Au.upf
ATOMIC_POSITIONS crystal
Ca 0.000 0.000 0.000
Os 0.500 0.500 0.500
Au 0.000 0.500 0.500
Au 0.500 0.000 0.500
Au 0.500 0.500 0.000
CELL_PARAMETERS angstrom
5.056 0.000 0.000
0.000 5.056 0.000
0.000 0.000 5.056
```

Excess energy over the best structure of this formula in the dataset   0.000 eV/atom
SG   Pm-3m
Formation enthalpy at 0 K   417 meV/atom